[1]
Density functional theory data (GGA-PBE) for a relaxed TcPtCl2 crystal.

Lattice parameters (Å, degrees): 8.9925 8.9925 8.9925 19.12 19.12 19.12
With the nearest neighbours (Å) after each atom.
Atoms (fractional coordinates):
Cl (0.0172, 0.0172, 0.0172)  3 Tc 2.46
Cl (0.4828, 0.4828, 0.4828)  3 Tc 2.46
Pt (0.2500, 0.2500, 0.2500)  6 Pt 2.99, 6 Cl 3.17
Tc (0.7500, 0.7500, 0.7500)  6 Cl 2.46

Computed properties:
Uncorrected formation energy: 357 meV/atom
SG: R-3m, No. 166
ΔE to the lowest computed polymorph: 471.0 meV/atom
D(E_F): 1.17 states/eV/atom

---

[2]
Density functional theory data (GGA-PBE) for a relaxed TcPtCl2 crystal.

Lattice parameters (Å, degrees): 4.3348 4.3348 3.8850 90.00 90.00 90.00
With the nearest neighbours (Å) after each atom.
Atoms (fractional coordinates):
Tc (0.0000, 0.5000, 0.5000)  8 Cl 2.91, 4 Pt 3.07
Cl (0.0000, 0.0000, 0.0000)  4 Tc 2.91, 4 Pt 2.91, 4 Cl 3.07
Pt (0.5000, 0.0000, 0.5000)  8 Cl 2.91, 4 Tc 3.07
Cl (0.5000, 0.5000, 0.0000)  4 Tc 2.91, 4 Pt 2.91, 4 Cl 3.07

Computed properties:
Uncorrected formation energy: 868 meV/atom
SG: P4/mmm, No. 123
ΔE to the lowest computed polymorph: 981.7 meV/atom
D(E_F): 0.69 states/eV/atom

---

[3]
Density functional theory data (GGA-PBE) for a relaxed TcPtCl2 crystal.

Lattice parameters (Å, degrees): 2.9795 2.9795 10.5903 90.00 90.00 123.29
With the nearest neighbours (Å) after each atom.
Atoms (fractional coordinates):
Cl (0.0000, 0.0000, 0.9307)  2 Tc 2.38
Cl (0.0000, 0.0000, 0.5693)  2 Tc 2.38
Pt (0.5000, 0.5000, 0.2500)  6 Pt 2.83-2.98
Tc (0.5000, 0.5000, 0.7500)  4 Cl 2.38

Computed properties:
Uncorrected formation energy: 428 meV/atom
SG: Cmmm, No. 65
ΔE to the lowest computed polymorph: 542.4 meV/atom
D(E_F): 1.54 states/eV/atom

---

[4]
Density functional theory data (GGA-PBE) for a relaxed TcPtCl2 crystal.

Lattice parameters (Å, degrees): 3.6048 3.6048 8.3401 78.06 78.06 59.99
With the nearest neighbours (Å) after each atom.
Atoms (fractional coordinates):
Cl (0.2161, 0.2161, 0.3398)  3 Pt 2.62
Tc (0.7622, 0.7622, 0.7172)  3 Pt 2.55, 3 Cl 2.59
Cl (0.0350, 0.0350, 0.9073)  3 Tc 2.59
Pt (0.4867, 0.4867, 0.5357)  3 Tc 2.55, 3 Cl 2.62

Computed properties:
Uncorrected formation energy: -114 meV/atom
SG: Cm, No. 8
ΔE to the lowest computed polymorph: 0.0 meV/atom

---

[5]
Density functional theory data (GGA-PBE) for a relaxed TcPt2Cl crystal.

Lattice parameters (Å, degrees): 9.4383 9.4383 9.4383 17.44 17.44 17.44
With the nearest neighbours (Å) after each atom.
Atoms (fractional coordinates):
Cl (0.7673, 0.7673, 0.7673)  3 Tc 2.46
Pt (0.2422, 0.2422, 0.2422)  3 Tc 2.69, 9 Pt 2.83-2.86
Pt (0.9913, 0.9913, 0.9913)  9 Pt 2.83-2.86
Tc (0.4992, 0.4992, 0.4992)  3 Cl 2.46, 3 Pt 2.69

Computed properties:
Uncorrected formation energy: 106 meV/atom
SG: R3m, No. 160
ΔE to the lowest computed polymorph: 38.5 meV/atom
D(E_F): 1.20 states/eV/atom

---

[6]
Density functional theory data (GGA-PBE) for a relaxed TcPtCl2 crystal.

Lattice parameters (Å, degrees): 2.9405 4.1215 7.6222 74.10 90.00 90.00
With the nearest neighbours (Å) after each atom.
Atoms (fractional coordinates):
Cl (0.0000, 0.8483, 0.9243)  2 Tc 2.37
Pt (0.0000, 0.5322, 0.5615)  4 Tc 2.65-2.66, 2 Pt 2.94
Cl (0.5000, 0.1425, 0.3434)  1 Tc 2.40
Tc (0.5000, 0.9769, 0.6708)  3 Cl 2.37-2.40

Computed properties:
Uncorrected formation energy: -12 meV/atom
SG: Pm, No. 6
ΔE to the lowest computed polymorph: 102.2 meV/atom
D(E_F): 0.78 states/eV/atom